# 1
VASP calculation (PBE-GGA) on a relaxed structure of TaHgBr.

a b c (Å): 4.6156 4.6156 4.6156
angles (deg): 60.00 60.00 60.00
With the nearest neighbours (Å) after each atom.
Fractional coordinates of all 3 atoms:
Hg 0.0000 0.0000 0.0000  4 Br 2.83
Ta 0.5000 0.5000 0.5000  4 Br 2.83
Br 0.7500 0.7500 0.7500  4 Hg 2.83, 4 Ta 2.83

## Properties
DFT total energy ... -3.28 eV/atom
Total magnetic moment ... 0.00 μB per formula unit
Energy relative to the elements, uncorrected ... 1.334 eV per atom
Space-group type ... F-43m (216)

---

# 2
VASP calculation (PBE-GGA) on a relaxed structure of Ta2HgBr.

a b c (Å): 4.3947 3.0455 5.9067
angles (deg): 90.04 90.00 90.00
With the nearest neighbours (Å) after each atom.
Fractional coordinates of all 4 atoms:
Ta 0.0000 0.2500 0.5067  2 Br 2.67, 1 Ta 2.87
Ta 0.0000 0.2500 0.9933  2 Br 2.67, 1 Ta 2.87
Hg 0.5000 0.7500 0.7500  8 Ta 3.03-3.04, 2 Hg 3.05, 4 Br 3.32
Br 0.5000 0.2500 0.2500  4 Ta 2.67

## Properties
DFT total energy ... -5.82 eV/atom
Total magnetic moment ... 0.00 μB per formula unit
Energy relative to the elements, uncorrected ... 0.600 eV per atom
Space-group type ... Pmmm (47)

---

# 3
VASP calculation (PBE-GGA) on a relaxed structure of Ta2HgBr.

a b c (Å): 5.5787 5.5787 5.5787
angles (deg): 136.45 136.45 63.29
With the nearest neighbours (Å) after each atom.
Fractional coordinates of all 4 atoms:
Ta 0.5000 0.5000 0.0000  4 Ta 2.93, 4 Br 3.15, 4 Hg 3.15
Ta 0.0000 0.0000 0.0000  4 Ta 2.93, 4 Hg 3.15, 4 Br 3.15
Hg 0.7500 0.2500 0.5000  4 Br 2.93, 8 Ta 3.15
Br 0.2500 0.7500 0.5000  4 Hg 2.93, 8 Ta 3.15

## Properties
DFT total energy ... -5.43 eV/atom
Total magnetic moment ... 0.00 μB per formula unit
Energy relative to the elements, uncorrected ... 0.994 eV per atom
Space-group type ... I4/mmm (139)

---

# 4
VASP calculation (PBE-GGA) on a relaxed structure of TaHg2Br.

a b c (Å): 5.5271 5.5271 3.1128
angles (deg): 90.00 90.00 114.58
With the nearest neighbours (Å) after each atom.
Fractional coordinates of all 4 atoms:
Ta 0.5000 0.0000 0.5000  2 Br 2.99, 2 Ta 3.11, 8 Hg 3.17
Hg 0.5000 0.5000 0.0000  4 Hg 2.99-3.11, 4 Br 3.17, 4 Ta 3.17
Hg 0.0000 0.0000 0.0000  4 Hg 2.99-3.11, 4 Ta 3.17, 4 Br 3.17
Br 0.0000 0.5000 0.5000  2 Ta 2.99, 2 Br 3.11, 8 Hg 3.17

## Properties
DFT total energy ... -3.06 eV/atom
Total magnetic moment ... 0.00 μB per formula unit
Energy relative to the elements, uncorrected ... 0.474 eV per atom
Space-group type ... Cmmm (65)

---

# 5
VASP calculation (PBE-GGA) on a relaxed structure of TaHg2Br.

a b c (Å): 3.1567 5.7175 5.7248
angles (deg): 108.56 99.56 98.43
With the nearest neighbours (Å) after each atom.
Fractional coordinates of all 4 atoms:
Br 0.8646 0.1822 0.5865  2 Ta 2.56-2.58
Hg 0.4900 0.4043 0.1914  2 Ta 2.88-3.02, 1 Br 3.08, 2 Hg 3.16
Hg 0.4758 0.7876 0.8066  3 Ta 2.89-3.24, 1 Br 3.11, 2 Hg 3.16
Ta 0.1792 0.8668 0.2722  2 Br 2.56-2.58

## Properties
DFT total energy ... -3.28 eV/atom
Total magnetic moment ... 0.00 μB per formula unit
Energy relative to the elements, uncorrected ... 0.250 eV per atom
Space-group type ... P1 (1)

---

# 6
VASP calculation (PBE-GGA) on a relaxed structure of TaHg2Br.

a b c (Å): 4.9388 4.9388 4.9388
angles (deg): 60.00 60.00 60.00
With the nearest neighbours (Å) after each atom.
Fractional coordinates of all 4 atoms:
Hg 0.0000 0.0000 0.0000  4 Ta 3.02, 4 Hg 3.02
Hg 0.2500 0.2500 0.2500  4 Hg 3.02, 4 Br 3.02
Br 0.5000 0.5000 0.5000  4 Hg 3.02, 4 Ta 3.02
Ta 0.7500 0.7500 0.7500  4 Br 3.02, 4 Hg 3.02

## Properties
DFT total energy ... -2.73 eV/atom
Total magnetic moment ... 0.00 μB per formula unit
Energy relative to the elements, uncorrected ... 0.798 eV per atom
Space-group type ... F-43m (216)

---

# 7
VASP calculation (PBE-GGA) on a relaxed structure of Ta2HgBr.

a b c (Å): 4.7901 4.1300 4.1300
angles (deg): 90.00 90.00 90.00
With the nearest neighbours (Å) after each atom.
Fractional coordinates of all 4 atoms:
Ta 0.0000 0.0000 0.0000  4 Ta 2.92, 4 Hg 3.16, 4 Br 3.16
Ta 0.0000 0.5000 0.5000  4 Ta 2.92, 4 Br 3.16, 4 Hg 3.16
Hg 0.5000 0.0000 0.5000  4 Br 2.92, 8 Ta 3.16
Br 0.5000 0.5000 0.0000  4 Hg 2.92, 8 Ta 3.16

## Properties
DFT total energy ... -5.44 eV/atom
Total magnetic moment ... 0.00 μB per formula unit
Energy relative to the elements, uncorrected ... 0.980 eV per atom
Space-group type ... P4/mmm (123)

---

# 8
VASP calculation (PBE-GGA) on a relaxed structure of TaHg2Br.

a b c (Å): 9.3524 9.3524 9.3524
angles (deg): 20.65 20.65 20.65
With the nearest neighbours (Å) after each atom.
Fractional coordinates of all 4 atoms:
Ta 0.2500 0.2500 0.2500  6 Hg 2.95
Br 0.7500 0.7500 0.7500  6 Hg 3.05, 6 Br 3.35
Hg 0.9976 0.9976 0.9976  3 Ta 2.95, 3 Br 3.05
Hg 0.5024 0.5024 0.5024  3 Ta 2.95, 3 Br 3.05

## Properties
DFT total energy ... -3.18 eV/atom
Total magnetic moment ... 0.00 μB per formula unit
Energy relative to the elements, uncorrected ... 0.357 eV per atom
Space-group type ... R-3m (166)

---

# 9
VASP calculation (PBE-GGA) on a relaxed structure of TaHgBr4.

a b c (Å): 6.1631 6.1631 6.1631
angles (deg): 60.00 60.00 60.00
With the nearest neighbours (Å) after each atom.
Fractional coordinates of all 6 atoms:
Br 0.3736 0.3736 0.8792  6 Br 3.05-3.12
Br 0.3736 0.8792 0.3736  6 Br 3.05-3.12
Br 0.8792 0.3736 0.3736  6 Br 3.05-3.12
Br 0.3736 0.3736 0.3736  6 Br 3.05-3.12
Ta 0.0000 0.0000 0.0000  12 Br 3.61, 4 Hg 3.77
Hg 0.7500 0.7500 0.7500  12 Br 3.62, 4 Ta 3.77

## Properties
DFT total energy ... -2.01 eV/atom
Total magnetic moment ... 2.70 μB per formula unit
Energy relative to the elements, uncorrected ... 1.127 eV per atom
Space-group type ... F-43m (216)

---

# 10
VASP calculation (PBE-GGA) on a relaxed structure of TaHgBr4.

a b c (Å): 6.3147 10.8490 8.9330
angles (deg): 52.61 78.46 70.76
With the nearest neighbours (Å) after each atom.
Fractional coordinates of all 12 atoms:
Br 0.8246 0.0790 0.6392  2 Ta 2.64-2.66
Br 0.1774 0.6657 0.8705  1 Ta 2.47
Br 0.6754 0.7819 0.6392  2 Ta 2.64-2.66
Br 0.3226 0.9638 0.8705  1 Ta 2.47
Br 0.8226 0.3343 0.1295  1 Ta 2.47
Br 0.1754 0.9210 0.3608  2 Ta 2.64-2.66
Br 0.3246 0.2181 0.3608  2 Ta 2.64-2.66
Br 0.6774 0.0362 0.1295  1 Ta 2.47
Hg 0.2500 0.4458 0.6083  2 Hg 3.51
Hg 0.7500 0.5542 0.3917  2 Hg 3.51
Ta 0.2500 0.9328 0.6345  6 Br 2.47-2.66
Ta 0.7500 0.0672 0.3655  6 Br 2.47-2.66

## Properties
DFT total energy ... -3.80 eV/atom
Total magnetic moment ... 0.96 μB per formula unit
Energy relative to the elements, uncorrected ... -0.654 eV per atom
Space-group type ... C2/c (15)

---

# 11
VASP calculation (PBE-GGA) on a relaxed structure of Ta2HgBr.

a b c (Å): 3.0668 3.0668 10.1504
angles (deg): 90.00 90.00 109.47
With the nearest neighbours (Å) after each atom.
Fractional coordinates of all 4 atoms:
Hg 0.5000 0.5000 0.7972  2 Ta 2.95, 4 Hg 3.07
Ta 0.5000 0.5000 0.2343  2 Br 2.73, 2 Ta 2.73
Ta 0.0000 0.0000 0.0297  2 Ta 2.73, 2 Hg 2.95
Br 0.0000 0.0000 0.4388  2 Ta 2.73

## Properties
DFT total energy ... -6.23 eV/atom
Total magnetic moment ... 0.00 μB per formula unit
Energy relative to the elements, uncorrected ... 0.186 eV per atom
Space-group type ... Cmm2 (35)

---

# 12
VASP calculation (PBE-GGA) on a relaxed structure of TaHg2Br.

a b c (Å): 3.1365 3.1740 9.8217
angles (deg): 90.00 99.09 90.00
With the nearest neighbours (Å) after each atom.
Fractional coordinates of all 4 atoms:
Br 0.6666 0.0000 0.4859  4 Ta 2.79
Ta 0.2522 0.5000 0.6583  4 Br 2.79, 4 Hg 2.97
Hg 0.8520 0.0000 0.8597  4 Ta 2.97, 6 Hg 3.14-3.17
Hg 0.9884 0.5000 0.1394  6 Hg 3.14-3.17

## Properties
DFT total energy ... -3.35 eV/atom
Total magnetic moment ... 0.00 μB per formula unit
Energy relative to the elements, uncorrected ... 0.184 eV per atom
Space-group type ... Pm (6)

---

# 13
VASP calculation (PBE-GGA) on a relaxed structure of TaHgBr.

a b c (Å): 4.6419 4.6419 4.6419
angles (deg): 60.00 60.00 60.00
With the nearest neighbours (Å) after each atom.
Fractional coordinates of all 3 atoms:
Ta 0.7500 0.7500 0.7500  4 Br 2.84, 4 Hg 2.84
Br 0.0000 0.0000 0.0000  4 Ta 2.84
Hg 0.5000 0.5000 0.5000  4 Ta 2.84

## Properties
DFT total energy ... -3.68 eV/atom
Total magnetic moment ... 0.37 μB per formula unit
Energy relative to the elements, uncorrected ... 0.926 eV per atom
Space-group type ... F-43m (216)

---

# 14
VASP calculation (PBE-GGA) on a relaxed structure of TaHg2Br.

a b c (Å): 5.6909 6.5160 10.6965
angles (deg): 90.00 91.87 90.00
With the nearest neighbours (Å) after each atom.
Fractional coordinates of all 16 atoms:
Br 0.5000 0.0008 0.0000  2 Ta 2.64
Br 0.0000 0.6597 0.0000  2 Ta 2.63
Br 0.0000 0.1597 0.5000  2 Ta 2.63
Br 0.5000 0.5008 0.5000  2 Ta 2.64
Ta 0.7924 0.8085 0.5454  1 Ta 2.58, 2 Br 2.63-2.64
Ta 0.7924 0.3085 0.0454  1 Ta 2.58, 2 Br 2.63-2.64
Ta 0.2076 0.3085 0.9546  1 Ta 2.58, 2 Br 2.63-2.64
Ta 0.2076 0.8085 0.4546  1 Ta 2.58, 2 Br 2.63-2.64
Hg 0.0741 0.0381 0.2053  2 Ta 2.90-3.13, 2 Hg 3.06-3.09
Hg 0.5777 0.9943 0.3101  2 Ta 2.92-3.02, 2 Hg 3.06-3.09
Hg 0.9259 0.0381 0.7947  2 Ta 2.90-3.13, 2 Hg 3.06-3.09
Hg 0.5777 0.4943 0.8101  2 Ta 2.92-3.02, 2 Hg 3.06-3.09
Hg 0.9259 0.5381 0.2947  2 Ta 2.90-3.13, 2 Hg 3.06-3.09
Hg 0.4223 0.4943 0.1899  2 Ta 2.92-3.02, 2 Hg 3.06-3.09
Hg 0.0741 0.5381 0.7053  2 Ta 2.90-3.13, 2 Hg 3.06-3.09
Hg 0.4223 0.9943 0.6899  2 Ta 2.92-3.02, 2 Hg 3.06-3.09

## Properties
DFT total energy ... -3.36 eV/atom
Total magnetic moment ... 0.00 μB per formula unit
Energy relative to the elements, uncorrected ... 0.174 eV per atom
Space-group type ... C2 (5)

---

# 15
VASP calculation (PBE-GGA) on a relaxed structure of TaHg2Br5.

a b c (Å): 6.7030 7.8469 7.8462
angles (deg): 79.50 64.73 64.75
With the nearest neighbours (Å) after each atom.
Fractional coordinates of all 8 atoms:
Br 0.8452 0.3385 0.0001  1 Ta 2.48
Br 0.8460 0.0001 0.3384  1 Ta 2.48
Br 0.5653 0.9996 0.9997  1 Ta 2.39
Br 0.1846 0.0000 0.6617  1 Ta 2.48
Br 0.1841 0.6616 0.0000  1 Ta 2.48
Ta 0.9216 0.0000 0.0000  5 Br 2.39-2.48
Hg 0.5882 0.5001 0.4999  2 Hg 3.35
Hg 0.0881 0.5002 0.5003  2 Hg 3.35

## Properties
DFT total energy ... -3.24 eV/atom
Total magnetic moment ... 0.10 μB per formula unit
Energy relative to the elements, uncorrected ... -0.640 eV per atom
Space-group type ... I4mm (107)

---

# 16
VASP calculation (PBE-GGA) on a relaxed structure of TaHg2Br.

a b c (Å): 5.1541 5.1541 5.1541
angles (deg): 60.00 60.00 60.00
With the nearest neighbours (Å) after each atom.
Fractional coordinates of all 4 atoms:
Hg 0.2500 0.2500 0.2500  4 Ta 3.16, 4 Br 3.16
Hg 0.7500 0.7500 0.7500  4 Ta 3.16, 4 Br 3.16
Ta 0.5000 0.5000 0.5000  8 Hg 3.16
Br 0.0000 0.0000 0.0000  8 Hg 3.16

## Properties
DFT total energy ... -2.53 eV/atom
Total magnetic moment ... 2.72 μB per formula unit
Energy relative to the elements, uncorrected ... 1.003 eV per atom
Space-group type ... Fm-3m (225)

---

# 17
VASP calculation (PBE-GGA) on a relaxed structure of TaHg2Br.

a b c (Å): 3.1110 4.9527 5.6806
angles (deg): 90.00 90.00 90.00
With the nearest neighbours (Å) after each atom.
Fractional coordinates of all 4 atoms:
Hg 0.0000 0.0000 0.0000  6 Hg 2.92-3.11, 4 Ta 3.24
Hg 0.5000 0.5000 0.0000  6 Hg 2.92-3.11, 4 Br 3.24
Br 0.0000 0.5000 0.5000  4 Ta 2.92, 2 Br 3.11, 4 Hg 3.24
Ta 0.5000 0.0000 0.5000  4 Br 2.92, 2 Ta 3.11, 4 Hg 3.24

## Properties
DFT total energy ... -2.94 eV/atom
Total magnetic moment ... 0.16 μB per formula unit
Energy relative to the elements, uncorrected ... 0.595 eV per atom
Space-group type ... Pmmm (47)

---

# 18
VASP calculation (PBE-GGA) on a relaxed structure of Ta2HgBr.

a b c (Å): 5.4320 5.4320 5.4320
angles (deg): 134.78 134.78 65.86
With the nearest neighbours (Å) after each atom.
Fractional coordinates of all 4 atoms:
Br 0.5000 0.5000 0.0000  8 Ta 2.95-3.09, 4 Hg 3.09
Hg 0.7500 0.2500 0.5000  8 Ta 2.95-3.09, 4 Br 3.09
Ta 0.2500 0.7500 0.5000  4 Hg 2.95, 4 Ta 3.09, 4 Br 3.09
Ta 0.0000 0.0000 0.0000  4 Br 2.95, 4 Ta 3.09, 4 Hg 3.09

## Properties
DFT total energy ... -5.47 eV/atom
Total magnetic moment ... 0.00 μB per formula unit
Energy relative to the elements, uncorrected ... 0.948 eV per atom
Space-group type ... I-4m2 (119)

---

# 19
VASP calculation (PBE-GGA) on a relaxed structure of Ta2HgBr.

a b c (Å): 6.2079 6.2079 5.0810
angles (deg): 78.51 78.51 29.06
With the nearest neighbours (Å) after each atom.
Fractional coordinates of all 4 atoms:
Ta 0.0754 0.0754 0.8532  2 Ta 2.64, 2 Br 2.77
Ta 0.7562 0.7562 0.7893  2 Ta 2.64, 2 Br 2.86
Br 0.4521 0.4521 0.5630  4 Ta 2.77-2.86
Hg 0.2163 0.2163 0.2944  6 Ta 2.96-3.08, 2 Hg 3.11

## Properties
DFT total energy ... -5.89 eV/atom
Total magnetic moment ... 0.00 μB per formula unit
Energy relative to the elements, uncorrected ... 0.526 eV per atom
Space-group type ... Cm (8)

---

# 20
VASP calculation (PBE-GGA) on a relaxed structure of TbHgBr2.

a b c (Å): 3.8553 3.8553 11.9468
angles (deg): 80.71 80.71 60.00
With the nearest neighbours (Å) after each atom.
Fractional coordinates of all 4 atoms:
Br 0.8859 0.8859 0.3424  3 Tb 2.89
Br 0.1141 0.1141 0.6576  3 Tb 2.89
Tb 0.5000 0.5000 0.5000  6 Br 2.89
Hg 0.0000 0.0000 0.0000  6 Hg 3.86, 2 Br 4.02

## Properties
DFT total energy ... -3.25 eV/atom
Total magnetic moment ... 0.00 μB per formula unit
Energy relative to the elements, uncorrected ... -1.178 eV per atom
Space-group type ... R-3m (166)